1.
A plane-wave DFT calculation with PBE was carried out for a geometry-optimized Mg2BeO3 structure.

Computed properties:
Density of states at the Fermi level ... 0.0 states/eV/f.u.
SG ... Pnma (62)
Raw total energy ... -6.19 eV per atom
Spin magnetization ... 0.00 μB per atom
Raw formation energy ... -2562 meV per atom

abc: 5.423 2.829 14.398
angles: 90.00 90.00 90.00
Positions (direct):
Mg (0.059, 0.250, 0.205)
Mg (0.233, 0.250, 0.985)
Mg (0.267, 0.750, 0.485)
Mg (0.441, 0.750, 0.705)
Mg (0.559, 0.250, 0.295)
Mg (0.733, 0.250, 0.515)
Mg (0.767, 0.750, 0.015)
Mg (0.941, 0.750, 0.795)
Be (0.095, 0.250, 0.628)
Be (0.405, 0.750, 0.128)
Be (0.595, 0.250, 0.872)
Be (0.905, 0.750, 0.372)
O (0.047, 0.250, 0.413)
O (0.112, 0.750, 0.080)
O (0.159, 0.250, 0.735)
O (0.341, 0.750, 0.235)
O (0.388, 0.250, 0.580)
O (0.453, 0.750, 0.913)
O (0.547, 0.250, 0.087)
O (0.612, 0.750, 0.420)
O (0.659, 0.250, 0.765)
O (0.841, 0.750, 0.265)
O (0.888, 0.250, 0.920)
O (0.953, 0.750, 0.587)

***

2.
A plane-wave DFT calculation with PBE was carried out for a geometry-optimized MgBeO structure.

Computed properties:
Density of states at the Fermi level ... 0.3 states/eV/f.u.
SG ... Pm (6)
Raw total energy ... -4.92 eV per atom
Spin magnetization ... 0.00 μB per atom
Raw formation energy ... -1499 meV per atom

abc: 4.945 2.921 5.000
angles: 90.00 96.96 90.00
Positions (direct):
Mg (0.000, 0.000, 0.000)
Mg (0.379, 0.000, 0.583)
Be (0.460, 0.500, 0.089)
Be (0.824, 0.500, 0.459)
O (0.779, 0.500, 0.141)
O (0.842, 0.000, 0.601)

***

3.
A plane-wave DFT calculation with PBE was carried out for a geometry-optimized MgBeO structure.

Computed properties:
Density of states at the Fermi level ... 0.4 states/eV/f.u.
SG ... P-6m2 (187)
Raw total energy ... -4.93 eV per atom
Spin magnetization ... 0.00 μB per atom
Raw formation energy ... -1504 meV per atom

abc: 2.825 2.825 5.453
angles: 90.00 90.00 120.00
Positions (direct):
Mg (0.000, 0.000, 0.000)
Be (0.333, 0.667, 0.500)
O (0.000, 0.000, 0.500)

***

4.
A plane-wave DFT calculation with PBE was carried out for a geometry-optimized MgBeO structure.

Computed properties:
Density of states at the Fermi level ... 0.6 states/eV/f.u.
SG ... P1 (1)
Raw total energy ... -4.96 eV per atom
Spin magnetization ... 0.00 μB per atom
Raw formation energy ... -1532 meV per atom

abc: 2.772 4.599 8.536
angles: 103.40 99.15 90.01
Positions (direct):
Mg (0.000, 0.000, 0.000)
Mg (0.410, 0.421, 0.817)
Be (0.219, 0.611, 0.428)
Be (0.721, 0.109, 0.432)
O (0.223, 0.275, 0.437)
O (0.718, 0.770, 0.426)

***

5.
A plane-wave DFT calculation with PBE was carried out for a geometry-optimized MgBeO structure.

Computed properties:
Density of states at the Fermi level ... 0.4 states/eV/f.u.
SG ... Pmn2_1 (31)
Raw total energy ... -4.95 eV per atom
Spin magnetization ... 0.00 μB per atom
Raw formation energy ... -1526 meV per atom

abc: 2.835 6.594 4.616
angles: 90.00 90.00 90.00
Positions (direct):
Mg (0.000, 0.087, 0.000)
Mg (0.500, 0.913, 0.500)
Be (0.000, 0.513, 0.662)
Be (0.500, 0.487, 0.162)
O (0.000, 0.472, 0.999)
O (0.500, 0.528, 0.499)

***

6.
A plane-wave DFT calculation with PBE was carried out for a geometry-optimized Mg2BeOsO6 structure.

Computed properties:
Density of states at the Fermi level ... 0.9 states/eV/f.u.
SG ... P4mm (99)
Raw total energy ... -6.36 eV per atom
Spin magnetization ... 0.00 μB per atom
Raw formation energy ... -1574 meV per atom

abc: 4.998 4.998 4.777
angles: 90.00 90.00 90.00
Positions (direct):
Mg (0.000, 0.500, 0.000)
Mg (0.500, 0.000, 0.000)
Be (0.000, 0.000, 0.604)
Os (0.500, 0.500, 0.621)
O (0.000, 0.000, 0.289)
O (0.253, 0.253, 0.786)
O (0.253, 0.747, 0.786)
O (0.500, 0.500, 0.259)
O (0.747, 0.253, 0.786)
O (0.747, 0.747, 0.786)

***

7.
A plane-wave DFT calculation with PBE was carried out for a geometry-optimized MgBePO2 structure.

Computed properties:
Density of states at the Fermi level ... 4.7 states/eV/f.u.
SG ... P4/mmm (123)
Raw total energy ... -4.02 eV per atom
Spin magnetization ... 0.00 μB per atom
Raw formation energy ... 114 meV per atom

abc: 3.690 3.690 5.462
angles: 90.00 90.00 90.00
Positions (direct):
Mg (0.000, 0.000, 0.000)
Be (0.500, 0.500, 0.500)
P (0.000, 0.000, 0.500)
O (0.000, 0.500, 0.000)
O (0.500, 0.000, 0.000)

***

8.
A plane-wave DFT calculation with PBE was carried out for a geometry-optimized MgBeP2O structure.

Computed properties:
Density of states at the Fermi level ... 1.9 states/eV/f.u.
SG ... P4/mmm (123)
Raw total energy ... -4.57 eV per atom
Spin magnetization ... 0.00 μB per atom
Raw formation energy ... -346 meV per atom

abc: 4.962 4.962 2.924
angles: 90.00 90.00 90.00
Positions (direct):
Mg (0.000, 0.000, 0.000)
Be (0.500, 0.500, 0.500)
P (0.000, 0.500, 0.500)
P (0.500, 0.000, 0.500)
O (0.500, 0.500, 0.000)